The following is a DFT calculation (PBE-GGA) of Pa2CoB6 after structural relaxation.

The space group is Immm (No. 71) and the conventional cell measures 3.410, 5.473 and 11.516 Å, with angles of 90.00, 90.00 and 90.00 degrees. The distinct sites, in fractional coordinates, are Pa at (0.000, 0.000, 0.164), Co at (0.000, 0.500, 0.000), B at (0.000, 0.150, 0.384) and B at (0.000, 0.345, 0.500).

The value obtained for the density of states at the Fermi level is 5.872 states/eV/f.u. The calculation puts the total magnetization at 0.0 μB/f.u. As for the energy of formation from the pure elements: -0.208 eV/atom. Its raw total energy is -7.56 eV per atom.